Below is a relaxed structure of Tb2Al2Hg, with properties calculated at the PBE-GGA level.

Cell lengths 5.9367, 5.9367, 10.6612 Å; angles 114.65, 114.65, 45.33 degrees
Fractional positions:
Tb (0.0102, 0.0102, 0.3259)
Tb (0.1795, 0.1795, 0.0936)
Tb (0.8205, 0.8205, 0.9064)
Tb (0.9898, 0.9898, 0.6741)
Al (0.3647, 0.3647, 0.4366)
Al (0.4763, 0.4763, 0.1133)
Al (0.5237, 0.5237, 0.8867)
Al (0.6353, 0.6353, 0.5634)
Hg (0.2746, 0.2746, 0.6590)
Hg (0.7254, 0.7254, 0.3410)

Calculated values
electronic total energy	-3.8489	eV per atom
space group	C2/m